The following is a PBE calculation of a relaxed structure of HAuNF2, from Alexandria via LeMat-Bulk.

## Properties
relative energy among the computed polymorphs = 0.000 eV per atom
final energy = -0.23378 Ry/atom
spin magnetization = 2.82 μB per cell

a b c (Å): 4.422 4.422 2.653
angles (deg): 90.00 90.00 90.00
Fractional positions:
H1 0.000 0.000 0.000
Au1 0.500 0.500 0.500
N1 0.000 0.000 0.500
F1 0.000 0.500 0.000
F2 0.500 0.000 0.000